Below is a crystal of SbP2IrCl relaxed with PBEsol, with properties calculated at the SCAN level.

* SG: P4/mmm (123)
* formation energy from raw total energies: 479 meV/atom
* density of states at the Fermi level: 3.12 states/eV per cell

```
SbP2IrCl
1.0
-1.7429 -4.1288 0.9351
4.2334 -1.6990 0.3888
-0.0037 1.0616 4.6801
Sb P Ir Cl
1 2 1 1
Cartesian
1.2434 -2.3831 3.0020
-0.8715 -2.0644 0.4676
2.1167 -0.8495 0.1944
0.0000 0.0000 0.0000
-0.0019 0.5308 2.3400
```